(1)
# Tl2TeRh PBE relaxed
data_Tl2TeRh
_cell_length_a 4.1954
_cell_length_b 4.3156
_cell_length_c 5.4669
_cell_angle_alpha 90.00
_cell_angle_beta 93.91
_cell_angle_gamma 90.00
_space_group_name_H-M_alt 'P 1 2/m 1'
_space_group_IT_number 10
_space_group_name_Hall '-P 2y'
loop_
_atom_site_label
_atom_site_type_symbol
_atom_site_fract_x
_atom_site_fract_y
_atom_site_fract_z
Tl1 Tl 0.0000 0.0000 0.0000
Tl2 Tl 0.5000 0.5000 0.0000
Te1 Te 0.0000 0.5000 0.5000
Rh1 Rh 0.5000 0.0000 0.5000
# Distance to the lowest polymorph of the same formula, eV/f.u.: 1.53
# Calculated density, g/cm³: 10.7
# N(E_F), states/eV/f.u.: 4.033
# Total magnetization, μB per atom: 0.000
# Energy relative to the elements, uncorrected, eV per atom: 0.27

(2)
# TlTe2Rh PBE relaxed
data_TlTe2Rh
_cell_length_a 3.8836
_cell_length_b 4.6562
_cell_length_c 5.3918
_cell_angle_alpha 90.00
_cell_angle_beta 90.00
_cell_angle_gamma 90.00
_space_group_name_H-M_alt 'P m m m'
_space_group_IT_number 47
_space_group_name_Hall '-P 2 2'
loop_
_atom_site_label
_atom_site_type_symbol
_atom_site_fract_x
_atom_site_fract_y
_atom_site_fract_z
Tl1 Tl 0.0000 0.0000 0.0000
Te1 Te 0.0000 0.5000 0.5000
Te2 Te 0.5000 0.5000 0.0000
Rh1 Rh 0.5000 0.0000 0.5000
# Calculated density, g/cm³: 9.6
# N(E_F), states/eV/f.u.: 3.015
# Total magnetization, μB per atom: 0.000
# Energy relative to the elements, uncorrected, eV per atom: 0.36

(3)
# Tl2TeRh PBE relaxed
data_Tl2TeRh
_cell_length_a 3.4676
_cell_length_b 4.5394
_cell_length_c 13.2853
_cell_angle_alpha 90.00
_cell_angle_beta 90.00
_cell_angle_gamma 90.00
_space_group_name_H-M_alt 'A m m 2'
_space_group_IT_number 38
_space_group_name_Hall 'A 2 -2'
loop_
_atom_site_label
_atom_site_type_symbol
_atom_site_fract_x
_atom_site_fract_y
_atom_site_fract_z
Tl1 Tl 0.0000 0.0000 0.0000
Tl2 Tl 0.5000 0.0000 0.3243
Te1 Te 0.5000 0.0000 0.6328
Rh1 Rh 0.0000 0.0000 0.7828
# Distance to the lowest polymorph of the same formula, eV/f.u.: 0.18
# Calculated density, g/cm³: 10.2
# N(E_F), states/eV/f.u.: 2.430
# Total magnetization, μB per atom: 0.000
# Energy relative to the elements, uncorrected, eV per atom: -0.07

(4)
# TlTeRh3 PBE relaxed
data_TlTeRh3
_cell_length_a 4.8727
_cell_length_b 4.8727
_cell_length_c 4.8727
_cell_angle_alpha 90.00
_cell_angle_beta 90.00
_cell_angle_gamma 90.00
_space_group_name_H-M_alt 'P m -3 m'
_space_group_IT_number 221
_space_group_name_Hall '-P 4 2 3'
loop_
_atom_site_label
_atom_site_type_symbol
_atom_site_fract_x
_atom_site_fract_y
_atom_site_fract_z
Tl1 Tl 0.0000 0.0000 0.0000
Te1 Te 0.5000 0.5000 0.5000
Rh1 Rh 0.0000 0.5000 0.5000
# Distance to the lowest polymorph of the same formula, eV/f.u.: 0.00
# Calculated density, g/cm³: 9.2
# N(E_F), states/eV/f.u.: 10.856
# Total magnetization, μB per atom: 0.000
# Energy relative to the elements, uncorrected, eV per atom: 0.69

(5)
# Tl2TeRh PBE relaxed
data_Tl2TeRh
_cell_length_a 3.4009
_cell_length_b 3.4009
_cell_length_c 8.8471
_cell_angle_alpha 90.00
_cell_angle_beta 90.00
_cell_angle_gamma 90.00
_space_group_name_H-M_alt 'P 4 m m'
_space_group_IT_number 99
_space_group_name_Hall 'P 4 -2'
loop_
_atom_site_label
_atom_site_type_symbol
_atom_site_fract_x
_atom_site_fract_y
_atom_site_fract_z
Tl1 Tl 0.0000 0.0000 0.0000
Tl2 Tl 0.5000 0.5000 0.2981
Te1 Te 0.5000 0.5000 0.6760
Rh1 Rh 0.0000 0.0000 0.5389
# Distance to the lowest polymorph of the same formula, eV/f.u.: 0.27
# Calculated density, g/cm³: 10.4
# N(E_F), states/eV/f.u.: 3.090
# Total magnetization, μB per atom: 0.000
# Energy relative to the elements, uncorrected, eV per atom: -0.05

(6)
# Tl2TeRh PBE relaxed
data_Tl2TeRh
_cell_length_a 7.2855
_cell_length_b 7.2855
_cell_length_c 7.2855
_cell_angle_alpha 90.00
_cell_angle_beta 90.00
_cell_angle_gamma 90.00
_space_group_name_H-M_alt 'F -4 3 m'
_space_group_IT_number 216
_space_group_name_Hall 'F -4 2 3'
loop_
_atom_site_label
_atom_site_type_symbol
_atom_site_fract_x
_atom_site_fract_y
_atom_site_fract_z
Tl1 Tl 0.0000 0.0000 0.0000
Tl2 Tl 0.2500 0.2500 0.2500
Te1 Te 0.2500 0.2500 0.7500
Rh1 Rh 0.0000 0.0000 0.5000
# Distance to the lowest polymorph of the same formula, eV/f.u.: 1.42
# Calculated density, g/cm³: 11.0
# N(E_F), states/eV/f.u.: 4.901
# Total magnetization, μB per atom: 0.001
# Energy relative to the elements, uncorrected, eV per atom: 0.24

(7)
# TlTeRh PBE relaxed
data_TlTeRh
_cell_length_a 3.7696
_cell_length_b 3.7696
_cell_length_c 6.0481
_cell_angle_alpha 90.00
_cell_angle_beta 90.00
_cell_angle_gamma 120.00
_space_group_name_H-M_alt 'P 3 m 1'
_space_group_IT_number 156
_space_group_name_Hall 'P 3 -2"'
loop_
_atom_site_label
_atom_site_type_symbol
_atom_site_fract_x
_atom_site_fract_y
_atom_site_fract_z
Tl1 Tl 0.0000 0.0000 0.0000
Te1 Te 0.3333 0.6667 0.5506
Rh1 Rh 0.6667 0.3333 0.3225
# Calculated density, g/cm³: 9.7
# N(E_F), states/eV/f.u.: 2.313
# Total magnetization, μB per atom: 0.000
# Energy relative to the elements, uncorrected, eV per atom: -0.10

(8)
# Tl2TeRh PBE relaxed
data_Tl2TeRh
_cell_length_a 3.3692
_cell_length_b 4.6570
_cell_length_c 13.4085
_cell_angle_alpha 90.00
_cell_angle_beta 90.00
_cell_angle_gamma 90.00
_space_group_name_H-M_alt 'I m m 2'
_space_group_IT_number 44
_space_group_name_Hall 'I 2 -2'
loop_
_atom_site_label
_atom_site_type_symbol
_atom_site_fract_x
_atom_site_fract_y
_atom_site_fract_z
Tl1 Tl 0.0000 0.0000 0.0000
Tl2 Tl 0.0000 0.5000 0.1789
Te1 Te 0.0000 0.5000 0.8163
Rh1 Rh 0.0000 0.0000 0.4664
# Distance to the lowest polymorph of the same formula, eV/f.u.: 0.25
# Calculated density, g/cm³: 10.1
# N(E_F), states/eV/f.u.: 1.766
# Total magnetization, μB per atom: 0.000
# Energy relative to the elements, uncorrected, eV per atom: -0.05

(9)
# TlTeRh PBE relaxed
data_TlTeRh
_cell_length_a 6.1561
_cell_length_b 6.9836
_cell_length_c 7.4604
_cell_angle_alpha 90.00
_cell_angle_beta 95.75
_cell_angle_gamma 90.00
_space_group_name_H-M_alt 'C 1 2/m 1'
_space_group_IT_number 12
_space_group_name_Hall '-C 2y'
loop_
_atom_site_label
_atom_site_type_symbol
_atom_site_fract_x
_atom_site_fract_y
_atom_site_fract_z
Tl1 Tl 0.2458 0.0000 0.3374
Te1 Te 0.2199 0.5000 0.1611
Rh1 Rh 0.0000 0.2078 0.0000
# Calculated density, g/cm³: 9.1
# N(E_F), states/eV/f.u.: 1.526
# Total magnetization, μB per atom: 0.000
# Energy relative to the elements, uncorrected, eV per atom: -0.23

(10)
# Tl2TeRh PBE relaxed
data_Tl2TeRh
_cell_length_a 6.6375
_cell_length_b 6.6375
_cell_length_c 12.8130
_cell_angle_alpha 90.00
_cell_angle_beta 90.00
_cell_angle_gamma 90.00
_space_group_name_H-M_alt 'I -4 2 d'
_space_group_IT_number 122
_space_group_name_Hall 'I -4 2bw'
loop_
_atom_site_label
_atom_site_type_symbol
_atom_site_fract_x
_atom_site_fract_y
_atom_site_fract_z
Tl1 Tl 0.1978 0.2500 0.1250
Te1 Te 0.0000 0.0000 0.5000
Rh1 Rh 0.0000 0.0000 0.0000
# Distance to the lowest polymorph of the same formula, eV/f.u.: 1.82
# Calculated density, g/cm³: 7.5
# N(E_F), states/eV/f.u.: 5.188
# Total magnetization, μB per atom: 0.000
# Energy relative to the elements, uncorrected, eV per atom: 0.34

(11)
# Tl2TeRh PBE relaxed
data_Tl2TeRh
_cell_length_a 3.9457
_cell_length_b 3.9457
_cell_length_c 23.9297
_cell_angle_alpha 90.00
_cell_angle_beta 90.00
_cell_angle_gamma 120.00
_space_group_name_H-M_alt 'R 3 m'
_space_group_IT_number 160
_space_group_name_Hall 'R 3 -2"'
loop_
_atom_site_label
_atom_site_type_symbol
_atom_site_fract_x
_atom_site_fract_y
_atom_site_fract_z
Tl1 Tl 0.0000 0.0000 0.0000
Tl2 Tl 0.0000 0.0000 0.2342
Te1 Te 0.0000 0.0000 0.7757
Rh1 Rh 0.0000 0.0000 0.4948
# Distance to the lowest polymorph of the same formula, eV/f.u.: 0.20
# Calculated density, g/cm³: 9.9
# N(E_F), states/eV/f.u.: 2.152
# Total magnetization, μB per atom: 0.000
# Energy relative to the elements, uncorrected, eV per atom: -0.06

(12)
# TlTe2Rh PBE relaxed
data_TlTe2Rh
_cell_length_a 3.3075
_cell_length_b 5.9322
_cell_length_c 11.0650
_cell_angle_alpha 90.00
_cell_angle_beta 90.00
_cell_angle_gamma 90.00
_space_group_name_H-M_alt 'I m m m'
_space_group_IT_number 71
_space_group_name_Hall '-I 2 2'
loop_
_atom_site_label
_atom_site_type_symbol
_atom_site_fract_x
_atom_site_fract_y
_atom_site_fract_z
Tl1 Tl 0.0000 0.0000 0.0000
Te1 Te 0.0000 0.5000 0.1858
Rh1 Rh 0.0000 0.0000 0.5000
# Calculated density, g/cm³: 8.6
# N(E_F), states/eV/f.u.: 2.531
# Total magnetization, μB per atom: 0.000
# Energy relative to the elements, uncorrected, eV per atom: -0.08

Question: What is the calculated density in the first record?
Answer: 10.7 g/cm³

Question: Among the records above, which one has the highest calculated density?
Answer: number 6